Here is an optimized crystal structure of Pm3NdPd from the Alexandria database. Energies are from PBE.

a b c (Å): 3.8529 6.4955 12.9661
angles (deg): 83.62 81.46 72.75
Last column: nearest neighbours and their distance in Å.
Sites, in units of the cell vectors:
Pm1 0.4532 0.9454 0.1481  2 Pd 3.09
Pm2 0.9888 0.1136 0.9089  2 Pd 2.94
Pm3 0.7576 0.7246 0.7602  2 Pd 3.11
Pm4 0.7911 0.0349 0.3828  1 Pd 3.46, 3 Nd 3.55-3.60, 8 Pm 3.57-3.85
Pm5 0.1120 0.1613 0.6147  2 Pd 2.95
Pm6 0.4210 0.6309 0.5271  1 Pd 3.44, 7 Pm 3.55-3.64, 2 Nd 3.68
Nd1 0.1004 0.5042 0.2950  2 Pd 2.97
Nd2 0.2226 0.5573 0.9975  2 Pd 2.97
Pd1 0.7607 0.3344 0.1442  4 Nd 2.97, 2 Pm 3.09
Pd2 0.4534 0.3303 0.7630  6 Pm 2.94-3.11

final energy: -25.8 eV/f.u.
theoretical density: 7.4 g/cm3
energy relative to the lowest polymorph listed for this composition: 0 meV per atom
DOS(E_F): 6.4 states/eV/f.u.